No. 1
# YB (PBE, optimized geometry)
data_YB
_chemical_formula_sum 'Y8 B8'
_symmetry_space_group_name_H-M 'I -4 3 m'
_symmetry_Int_Tables_number 217
_symmetry_space_group_name_Hall 'I -4 2 3'
_cell_length_a 7.379
_cell_length_b 7.379
_cell_length_c 7.379
_cell_angle_alpha 90.00
_cell_angle_beta 90.00
_cell_angle_gamma 90.00
loop_
_atom_site_label
_atom_site_type_symbol
_atom_site_fract_x
_atom_site_fract_y
_atom_site_fract_z
Y1 Y 0.209 0.209 0.791
B1 B 0.083 0.083 0.083
# - spin magnetization (μB/atom) = 0.0000
# - formation energy (meV/atom) = 109
# - D(E_F) (states/eV/f.u.) = 1.61
# - calculated volume (Å³ per cell) = 401.8

=====

No. 2
# YB (PBE, optimized geometry)
data_YB
_chemical_formula_sum 'Y2 B2'
_symmetry_space_group_name_H-M 'P 1 21/m 1'
_symmetry_Int_Tables_number 11
_symmetry_space_group_name_Hall '-P 2yb'
_cell_length_a 3.564
_cell_length_b 3.199
_cell_length_c 6.705
_cell_angle_alpha 90.00
_cell_angle_beta 105.48
_cell_angle_gamma 90.00
loop_
_atom_site_label
_atom_site_type_symbol
_atom_site_fract_x
_atom_site_fract_y
_atom_site_fract_z
Y1 Y 0.125 0.250 0.250
B1 B 0.477 0.250 0.954
# - spin magnetization (μB/atom) = 0.0000
# - formation energy (meV/atom) = -402
# - D(E_F) (states/eV/f.u.) = 1.57
# - calculated volume (Å³ per cell) = 73.7

=====

No. 3
# YB (PBE, optimized geometry)
data_YB
_chemical_formula_sum 'Y4 B4'
_symmetry_space_group_name_H-M 'C 1 2/m 1'
_symmetry_Int_Tables_number 12
_symmetry_space_group_name_Hall '-C 2y'
_cell_length_a 7.562
_cell_length_b 4.376
_cell_length_c 5.337
_cell_angle_alpha 90.00
_cell_angle_beta 117.95
_cell_angle_gamma 90.00
loop_
_atom_site_label
_atom_site_type_symbol
_atom_site_fract_x
_atom_site_fract_y
_atom_site_fract_z
Y1 Y 0.249 0.000 0.247
B1 B 0.057 0.000 0.668
# - spin magnetization (μB/atom) = 0.0000
# - formation energy (meV/atom) = -190
# - D(E_F) (states/eV/f.u.) = 0.72
# - calculated volume (Å³ per cell) = 156.0

=====

No. 4
# YB4 (PBE, optimized geometry)
data_YB4
_chemical_formula_sum 'Y1 B4'
_symmetry_space_group_name_H-M 'P m -3 m'
_symmetry_Int_Tables_number 221
_symmetry_space_group_name_Hall '-P 4 2 3'
_cell_length_a 4.765
_cell_length_b 4.765
_cell_length_c 4.765
_cell_angle_alpha 90.00
_cell_angle_beta 90.00
_cell_angle_gamma 90.00
loop_
_atom_site_label
_atom_site_type_symbol
_atom_site_fract_x
_atom_site_fract_y
_atom_site_fract_z
Y1 Y 0.000 0.000 0.000
B1 B 0.000 0.000 0.500
B2 B 0.500 0.500 0.500
# - spin magnetization (μB/atom) = 0.0337
# - formation energy (meV/atom) = 3144
# - D(E_F) (states/eV/f.u.) = 5.88
# - calculated volume (Å³ per cell) = 108.2

=====

No. 5
# YB (PBE, optimized geometry)
data_YB
_chemical_formula_sum 'Y6 B6'
_symmetry_space_group_name_H-M 'C m m m'
_symmetry_Int_Tables_number 65
_symmetry_space_group_name_Hall '-C 2 2'
_cell_length_a 3.352
_cell_length_b 16.769
_cell_length_c 3.864
_cell_angle_alpha 90.00
_cell_angle_beta 90.00
_cell_angle_gamma 90.00
loop_
_atom_site_label
_atom_site_type_symbol
_atom_site_fract_x
_atom_site_fract_y
_atom_site_fract_z
Y1 Y 0.000 0.000 0.000
Y2 Y 0.000 0.342 0.500
B1 B 0.000 0.230 0.000
B2 B 0.000 0.500 0.500
# - spin magnetization (μB/atom) = 0.0000
# - formation energy (meV/atom) = -195
# - D(E_F) (states/eV/f.u.) = 2.05
# - calculated volume (Å³ per cell) = 217.2

=====

No. 6
# YB (PBE, optimized geometry)
data_YB
_chemical_formula_sum 'Y4 B4'
_symmetry_space_group_name_H-M 'P 42/m n m'
_symmetry_Int_Tables_number 136
_symmetry_space_group_name_Hall '-P 4n 2n'
_cell_length_a 5.227
_cell_length_b 5.227
_cell_length_c 5.364
_cell_angle_alpha 90.00
_cell_angle_beta 90.00
_cell_angle_gamma 90.00
loop_
_atom_site_label
_atom_site_type_symbol
_atom_site_fract_x
_atom_site_fract_y
_atom_site_fract_z
Y1 Y 0.214 0.214 0.000
B1 B 0.179 0.179 0.500
# - spin magnetization (μB/atom) = 0.0000
# - formation energy (meV/atom) = 287
# - D(E_F) (states/eV/f.u.) = 2.08
# - calculated volume (Å³ per cell) = 146.5

=====

No. 7
# YB (PBE, optimized geometry)
data_YB
_chemical_formula_sum 'Y16 B16'
_symmetry_space_group_name_H-M 'F d d d'
_symmetry_Int_Tables_number 70
_cell_length_a 6.327
_cell_length_b 8.652
_cell_length_c 10.287
_cell_angle_alpha 90.00
_cell_angle_beta 90.00
_cell_angle_gamma 90.00
loop_
_symmetry_equiv_pos_as_xyz
'x,y,z'
'-x,-y,-z'
'-x+1/4,-y+1/4,z'
'x+1/4,y+1/4,-z'
'x,-y+1/4,-z+1/4'
'-x,y+1/4,z+1/4'
'-x+1/4,y,-z+1/4'
'x+1/4,-y,z+1/4'
'x,y+1/2,z+1/2'
'-x,-y+1/2,-z+1/2'
'-x+1/4,-y+3/4,z+1/2'
'x+1/4,y+3/4,-z+1/2'
'x,-y+3/4,-z+3/4'
'-x,y+3/4,z+3/4'
'-x+1/4,y+1/2,-z+3/4'
'x+1/4,-y+1/2,z+3/4'
'x+1/2,y,z+1/2'
'-x+1/2,-y,-z+1/2'
'-x+3/4,-y+1/4,z+1/2'
'x+3/4,y+1/4,-z+1/2'
'x+1/2,-y+1/4,-z+3/4'
'-x+1/2,y+1/4,z+3/4'
'-x+3/4,y,-z+3/4'
'x+3/4,-y,z+3/4'
'x+1/2,y+1/2,z'
'-x+1/2,-y+1/2,-z'
'-x+3/4,-y+3/4,z'
'x+3/4,y+3/4,-z'
'x+1/2,-y+3/4,-z+1/4'
'-x+1/2,y+3/4,z+1/4'
'-x+3/4,y+1/2,-z+1/4'
'x+3/4,-y+1/2,z+1/4'
loop_
_atom_site_label
_atom_site_type_symbol
_atom_site_fract_x
_atom_site_fract_y
_atom_site_fract_z
Y1 Y 0.125 0.334 0.125
B1 B 0.004 0.375 0.875
# - spin magnetization (μB/atom) = 0.0000
# - formation energy (meV/atom) = -93
# - D(E_F) (states/eV/f.u.) = 1.08
# - calculated volume (Å³ per cell) = 563.1

=====

No. 8
# YB (PBE, optimized geometry)
data_YB
_chemical_formula_sum 'Y4 B4'
_symmetry_space_group_name_H-M 'I m m a'
_symmetry_Int_Tables_number 74
_symmetry_space_group_name_Hall '-I 2b 2'
_cell_length_a 3.222
_cell_length_b 6.871
_cell_length_c 6.785
_cell_angle_alpha 90.00
_cell_angle_beta 90.00
_cell_angle_gamma 90.00
loop_
_atom_site_label
_atom_site_type_symbol
_atom_site_fract_x
_atom_site_fract_y
_atom_site_fract_z
Y1 Y 0.000 0.000 0.000
B1 B 0.000 0.250 0.294
# - spin magnetization (μB/atom) = 0.0000
# - formation energy (meV/atom) = -305
# - D(E_F) (states/eV/f.u.) = 1.10
# - calculated volume (Å³ per cell) = 150.2

=====

No. 9
# YB (PBE, optimized geometry)
data_YB
_chemical_formula_sum 'Y6 B6'
_symmetry_space_group_name_H-M 'I m m 2'
_symmetry_Int_Tables_number 44
_symmetry_space_group_name_Hall 'I 2 -2'
_cell_length_a 4.176
_cell_length_b 10.636
_cell_length_c 5.260
_cell_angle_alpha 90.00
_cell_angle_beta 90.00
_cell_angle_gamma 90.00
loop_
_atom_site_label
_atom_site_type_symbol
_atom_site_fract_x
_atom_site_fract_y
_atom_site_fract_z
Y1 Y 0.000 0.000 0.000
Y2 Y 0.000 0.312 0.106
B1 B 0.000 0.360 0.622
B2 B 0.000 0.500 0.782
# - spin magnetization (μB/atom) = 0.0006
# - formation energy (meV/atom) = -102
# - D(E_F) (states/eV/f.u.) = 2.25
# - calculated volume (Å³ per cell) = 233.7

=====

No. 10
# YB (PBE, optimized geometry)
data_YB
_chemical_formula_sum 'Y4 B4'
_symmetry_space_group_name_H-M 'F m -3 m'
_symmetry_Int_Tables_number 225
_symmetry_space_group_name_Hall '-F 4 2 3'
_cell_length_a 5.356
_cell_length_b 5.356
_cell_length_c 5.356
_cell_angle_alpha 90.00
_cell_angle_beta 90.00
_cell_angle_gamma 90.00
loop_
_atom_site_label
_atom_site_type_symbol
_atom_site_fract_x
_atom_site_fract_y
_atom_site_fract_z
Y1 Y 0.000 0.000 0.000
B1 B 0.000 0.000 0.500
# - spin magnetization (μB/atom) = 0.3153
# - formation energy (meV/atom) = 303
# - D(E_F) (states/eV/f.u.) = 2.55
# - calculated volume (Å³ per cell) = 153.7

=====

No. 11
# YB (PBE, optimized geometry)
data_YB
_chemical_formula_sum 'Y4 B4'
_symmetry_space_group_name_H-M 'F -4 3 m'
_symmetry_Int_Tables_number 216
_symmetry_space_group_name_Hall 'F -4 2 3'
_cell_length_a 5.755
_cell_length_b 5.755
_cell_length_c 5.755
_cell_angle_alpha 90.00
_cell_angle_beta 90.00
_cell_angle_gamma 90.00
loop_
_atom_site_label
_atom_site_type_symbol
_atom_site_fract_x
_atom_site_fract_y
_atom_site_fract_z
Y1 Y 0.000 0.000 0.000
B1 B 0.250 0.250 0.250
# - spin magnetization (μB/atom) = 0.0003
# - formation energy (meV/atom) = 904
# - D(E_F) (states/eV/f.u.) = 3.48
# - calculated volume (Å³ per cell) = 190.6

=====

No. 12
# YB (PBE, optimized geometry)
data_YB
_chemical_formula_sum 'Y2 B2'
_symmetry_space_group_name_H-M 'P 63/m m c'
_symmetry_Int_Tables_number 194
_symmetry_space_group_name_Hall '-P 6c 2c'
_cell_length_a 4.4873
_cell_length_b 4.4873
_cell_length_c 5.2808
_cell_angle_alpha 90.00
_cell_angle_beta 90.00
_cell_angle_gamma 120.00
loop_
_atom_site_label
_atom_site_type_symbol
_atom_site_fract_x
_atom_site_fract_y
_atom_site_fract_z
Y1 Y 0.3333 0.6667 0.2500
B1 B 0.3333 0.6667 0.7500
# - spin magnetization (μB/atom) = 0.7077
# - formation energy (meV/atom) = 660
# - D(E_F) (states/eV/f.u.) = 2.89
# - calculated volume (Å³ per cell) = 92.1

=====

Which of these has the lowest formation energy? number 2

=====

Please write out number 12 again, unchanged.
# YB (PBE, optimized geometry)
data_YB
_chemical_formula_sum 'Y2 B2'
_symmetry_space_group_name_H-M 'P 63/m m c'
_symmetry_Int_Tables_number 194
_symmetry_space_group_name_Hall '-P 6c 2c'
_cell_length_a 4.4873
_cell_length_b 4.4873
_cell_length_c 5.2808
_cell_angle_alpha 90.00
_cell_angle_beta 90.00
_cell_angle_gamma 120.00
loop_
_atom_site_label
_atom_site_type_symbol
_atom_site_fract_x
_atom_site_fract_y
_atom_site_fract_z
Y1 Y 0.3333 0.6667 0.2500
B1 B 0.3333 0.6667 0.7500
# - spin magnetization (μB/atom) = 0.7077
# - formation energy (meV/atom) = 660
# - D(E_F) (states/eV/f.u.) = 2.89
# - calculated volume (Å³ per cell) = 92.1

=====

Copy entry 12 word for word.
# YB (PBE, optimized geometry)
data_YB
_chemical_formula_sum 'Y2 B2'
_symmetry_space_group_name_H-M 'P 63/m m c'
_symmetry_Int_Tables_number 194
_symmetry_space_group_name_Hall '-P 6c 2c'
_cell_length_a 4.4873
_cell_length_b 4.4873
_cell_length_c 5.2808
_cell_angle_alpha 90.00
_cell_angle_beta 90.00
_cell_angle_gamma 120.00
loop_
_atom_site_label
_atom_site_type_symbol
_atom_site_fract_x
_atom_site_fract_y
_atom_site_fract_z
Y1 Y 0.3333 0.6667 0.2500
B1 B 0.3333 0.6667 0.7500
# - spin magnetization (μB/atom) = 0.7077
# - formation energy (meV/atom) = 660
# - D(E_F) (states/eV/f.u.) = 2.89
# - calculated volume (Å³ per cell) = 92.1

=====

What did the fourth record say?
# YB4 (PBE, optimized geometry)
data_YB4
_chemical_formula_sum 'Y1 B4'
_symmetry_space_group_name_H-M 'P m -3 m'
_symmetry_Int_Tables_number 221
_symmetry_space_group_name_Hall '-P 4 2 3'
_cell_length_a 4.765
_cell_length_b 4.765
_cell_length_c 4.765
_cell_angle_alpha 90.00
_cell_angle_beta 90.00
_cell_angle_gamma 90.00
loop_
_atom_site_label
_atom_site_type_symbol
_atom_site_fract_x
_atom_site_fract_y
_atom_site_fract_z
Y1 Y 0.000 0.000 0.000
B1 B 0.000 0.000 0.500
B2 B 0.500 0.500 0.500
# - spin magnetization (μB/atom) = 0.0337
# - formation energy (meV/atom) = 3144
# - D(E_F) (states/eV/f.u.) = 5.88
# - calculated volume (Å³ per cell) = 108.2